VASP calculation (PBE with a Hubbard U) on a relaxed structure of Rb4La3CoO8.

Unit cell a=7.5065 b=7.5065 c=7.5870 alpha=114.89 beta=114.89 gamma=55.80
Fractional positions:
Rb1 0.0000 0.0000 0.0000
Rb2 0.0000 0.5000 0.0000
Rb3 0.5000 0.0000 0.0000
Rb4 0.5000 0.5000 0.0000
La1 0.0000 0.0000 0.5000
La2 0.0000 0.5000 0.5000
La3 0.5000 0.0000 0.5000
Co1 0.5000 0.5000 0.5000
O1 0.2092 0.2092 0.6802
O2 0.2166 0.2166 0.2723
O3 0.2693 0.6713 0.6460
O4 0.3287 0.7307 0.3540
O5 0.6713 0.2693 0.6460
O6 0.7307 0.3287 0.3540
O7 0.7834 0.7834 0.7277
O8 0.7908 0.7908 0.3198

Calculated values
final energy: -97.65 eV per cell
calculated density: 5.0 g/cm³
spin magnetization: 2.03 μB/cell